Material: CoTcGe
Method: DFT, PBE-GGA
State: optimized geometry

Geometry as POSCAR:
```
CoTcGe
1.0
0.0000 2.8082 2.8082
2.8082 0.0000 2.8082
2.8082 2.8082 0.0000
Co Tc Ge
1 1 1
Cartesian
0.0000 0.0000 0.0000 Co
1.4041 1.4041 1.4041 Tc
4.2123 4.2123 4.2123 Ge
```

The crystal system is cubic. The total energy comes out at -0.2682 hartree per atom.

Material: KGeIr
Method: DFT, PBE-GGA
State: optimized geometry

Geometry as POSCAR:
```
KGeIr
1.0
4.2271 0.0000 0.0000
0.0000 4.2271 0.0000
0.0000 0.0000 8.3348
K Ge Ir
2 2 2
Cartesian
1.0568 1.0568 1.3938 K
3.1703 3.1703 6.9410 K
1.0568 1.0568 5.4791 Ge
3.1703 3.1703 2.8557 Ge
1.0568 3.1703 4.1674 Ir
3.1703 1.0568 4.1674 Ir
```

The crystal system is tetragonal. The total energy comes out at -0.1899 hartree per atom.

Material: RbTeIrO
Method: DFT, PBE-GGA
State: optimized geometry

Geometry as POSCAR:
```
RbTeIrO
1.0
4.1513 0.0000 0.0000
0.0000 4.1513 0.0000
0.0000 0.0000 9.2637
Rb Te Ir O
2 2 2 2
Cartesian
1.0378 3.1134 0.0000 Rb
3.1134 1.0378 0.0000 Rb
1.0378 1.0378 2.7218 Te
3.1134 3.1134 6.5419 Te
1.0378 1.0378 5.6149 Ir
3.1134 3.1134 3.6488 Ir
1.0378 3.1134 4.6318 O
3.1134 1.0378 4.6318 O
```

The crystal system is tetragonal. The total energy comes out at -0.1471 hartree per atom.

Material: SmSi2Tc4
Method: DFT, PBE-GGA
State: optimized geometry

Geometry as POSCAR:
```
SmSi2Tc4
1.0
2.0594 -6.9336 0.0000
2.0594 6.9336 0.0000
0.0000 0.0000 4.1079
Sm Si Tc
1 2 4
Cartesian
0.0000 0.0000 0.0000 Sm
2.0594 1.2366 2.0539 Si
2.0594 -1.2366 2.0539 Si
2.0594 4.3036 2.0539 Tc
2.0594 2.7072 0.0000 Tc
2.0594 -2.7072 0.0000 Tc
2.0594 -4.3036 2.0539 Tc
```

The crystal system is orthorhombic. The total energy comes out at -0.3182 hartree per atom.

Material: PrDyMg2Au4
Method: DFT, PBE-GGA
State: optimized geometry

Geometry as POSCAR:
```
PrDyMg2Au4
1.0
4.9625 0.0000 0.0000
0.0000 4.9625 0.0000
0.0000 0.0000 7.0169
Pr Dy Mg Au
1 1 2 4
Cartesian
0.0000 0.0000 0.0000 Pr
2.4813 2.4813 3.5085 Dy
0.0000 0.0000 3.5085 Mg
2.4813 2.4813 0.0000 Mg
0.0000 2.4813 1.8460 Au
0.0000 2.4813 5.1709 Au
2.4813 0.0000 1.8460 Au
2.4813 0.0000 5.1709 Au
```

The crystal system is tetragonal. The total energy comes out at -0.1448 hartree per atom.

Material: DyHoZn2Au4
Method: DFT, PBE-GGA
State: optimized geometry

Geometry as POSCAR:
```
DyHoZn2Au4
1.0
4.8231 0.0000 0.0000
0.0000 4.8231 0.0000
0.0000 0.0000 6.8166
Dy Ho Zn Au
1 1 2 4
Cartesian
0.0000 0.0000 0.0000 Dy
2.4115 2.4115 3.4083 Ho
0.0000 0.0000 3.4083 Zn
2.4115 2.4115 0.0000 Zn
0.0000 2.4115 1.7073 Au
0.0000 2.4115 5.1093 Au
2.4115 0.0000 1.7073 Au
2.4115 0.0000 5.1093 Au
```

The crystal system is tetragonal. For the energy relative to the elements, the calculation gives -0.642 eV per atom.

Material: PrCdNO
Method: DFT, PBE-GGA
State: optimized geometry

Geometry as POSCAR:
```
PrCdNO
1.0
3.9460 0.0000 0.0000
0.0000 3.9460 0.0000
0.0000 0.0000 8.3272
Pr Cd N O
2 2 2 2
Cartesian
0.9865 0.9865 1.2395 Pr
2.9595 2.9595 7.0877 Pr
0.9865 2.9595 4.1636 Cd
2.9595 0.9865 4.1636 Cd
0.9865 0.9865 5.5527 N
2.9595 2.9595 2.7745 N
0.9865 2.9595 0.0000 O
2.9595 0.9865 0.0000 O
```

The crystal system is tetragonal. The total energy comes out at -0.2177 hartree per atom.

Material: NaZnF3
Method: DFT, PBE-GGA
State: optimized geometry

Geometry as POSCAR:
```
NaZnF3
1.0
5.5440 0.0000 0.0000
0.0000 7.6519 0.0000
0.0000 0.0000 5.3184
Na Zn F
4 4 12
Cartesian
0.3684 1.9130 0.1014 Na
2.4036 5.7390 2.7606 Na
3.1404 1.9130 2.5578 Na
5.1755 5.7390 5.2170 Na
0.0000 0.0000 2.6592 Zn
0.0000 3.8260 2.6592 Zn
2.7720 0.0000 0.0000 Zn
2.7720 3.8260 0.0000 Zn
0.2431 5.7390 2.0312 F
1.0787 4.2878 4.3165 F
1.0787 7.1901 4.3165 F
1.6933 0.4618 1.6573 F
1.6933 3.3642 1.6573 F
2.5289 1.9130 4.6904 F
3.0151 5.7390 0.6280 F
3.8507 4.2878 3.6611 F
3.8507 7.1901 3.6611 F
4.4653 0.4618 1.0019 F
4.4653 3.3642 1.0019 F
5.3009 1.9130 3.2872 F
```

The crystal system is orthorhombic. The total energy comes out at -0.1518 hartree per atom.

Material: TbSbI6
Method: DFT, PBE-GGA
State: optimized geometry

Geometry as POSCAR:
```
TbSbI6
1.0
3.8294 -6.6552 0.0000
3.8294 6.6552 0.0000
-2.5016 0.0000 7.2157
Tb Sb I
1 1 6
Cartesian
0.0000 0.0000 0.0000 Tb
3.8294 -2.2322 0.0000 Sb
1.1143 2.2114 1.7867 I
-0.0037 -0.1195 5.4677 I
1.3328 -2.1134 1.7475 I
4.0430 2.2114 5.4291 I
5.1610 -0.1195 1.7480 I
3.8244 -2.1134 5.4682 I
```

The crystal system is monoclinic. The total energy comes out at -0.1150 hartree per atom.

Material: FeCuS2
Method: DFT, PBE-GGA
State: optimized geometry

Geometry as POSCAR:
```
FeCuS2
1.0
0.0000 2.9492 2.9492
2.9492 0.0000 2.9492
2.9492 2.9492 0.0000
Fe Cu S
1 1 2
Cartesian
0.0000 0.0000 0.0000 Fe
2.9492 2.9492 2.9492 Cu
1.4746 1.4746 1.4746 S
4.4239 4.4239 4.4239 S
```

The crystal system is cubic. The total energy comes out at -0.1768 hartree per atom.

Material: CuNi2Mo
Method: DFT, PBE-GGA
State: optimized geometry

Geometry as POSCAR:
```
CuNi2Mo
1.0
0.0000 2.9037 2.9037
2.9037 0.0000 2.9037
2.9037 2.9037 0.0000
Cu Ni Mo
1 2 1
Cartesian
0.0000 0.0000 0.0000 Cu
1.4519 1.4519 1.4519 Ni
2.9037 2.9037 2.9037 Ni
4.3556 4.3556 4.3556 Mo
```

The crystal system is cubic. For the energy relative to the elements, the calculation gives 0.174 eV per atom.

Material: HoAlPbS3
Method: DFT, PBE-GGA
State: optimized geometry

Geometry as POSCAR:
```
HoAlPbS3
1.0
1.9065 -7.2898 0.0000
1.9065 7.2898 0.0000
0.0000 0.0000 10.5631
Ho Al Pb S
2 2 2 6
Cartesian
0.0000 0.0000 0.0000 Ho
0.0000 0.0000 5.2816 Ho
1.9065 1.9077 7.9224 Al
1.9065 -1.9077 2.6408 Al
1.9065 2.8995 2.6408 Pb
1.9065 -2.8995 7.9224 Pb
1.9065 6.8684 2.6408 S
1.9065 1.9271 5.4194 S
1.9065 1.9271 10.4253 S
1.9065 -1.9271 0.1378 S
1.9065 -1.9271 5.1437 S
1.9065 -6.8684 7.9224 S
```

The crystal system is orthorhombic. The total energy comes out at -0.1888 hartree per atom.

Material: NaFeBMo
Method: DFT, PBE-GGA
State: optimized geometry

Geometry as POSCAR:
```
NaFeBMo
1.0
0.0000 2.9290 2.9290
2.9290 0.0000 2.9290
2.9290 2.9290 0.0000
Na Fe B Mo
1 1 1 1
Cartesian
0.0000 0.0000 0.0000 Na
1.4645 1.4645 1.4645 Fe
4.3935 4.3935 4.3935 B
2.9290 2.9290 2.9290 Mo
```

The crystal system is cubic. The total energy comes out at -0.2159 hartree per atom.

Material: ReAsNO
Method: DFT, PBE-GGA
State: optimized geometry

Geometry as POSCAR:
```
ReAsNO
1.0
2.8364 0.0000 0.0000
0.0000 6.1279 0.0000
0.0000 0.0000 6.7162
Re As N O
2 2 2 2
Cartesian
0.0000 0.5669 0.0000 Re
0.0000 5.5610 3.3581 Re
1.4182 1.5845 3.3859 As
1.4182 4.5434 0.0278 As
0.0000 0.8973 4.8789 N
0.0000 5.2306 1.5208 N
1.4182 1.6959 0.8140 O
1.4182 4.4320 4.1721 O
```

The crystal system is orthorhombic. The total energy comes out at -0.2824 hartree per atom.

Material: TbTaPb2O6
Method: DFT, PBE-GGA
State: optimized geometry

Geometry as POSCAR:
```
TbTaPb2O6
1.0
5.2105 0.0000 0.0000
-1.2651 5.1567 0.0000
-0.0967 -0.6041 5.5991
Tb Ta Pb O
1 1 2 6
Cartesian
0.0000 0.0000 0.0000 Tb
1.9727 2.5784 0.0000 Ta
0.5896 3.3735 2.6399 Pb
3.2591 1.1791 2.9592 Pb
0.3885 3.7158 0.1731 O
1.0468 0.8203 4.1829 O
1.1908 1.3936 1.4627 O
2.6580 3.1590 4.1364 O
2.8019 3.7323 1.4162 O
3.4602 0.8369 5.4260 O
```

The crystal system is triclinic. The total energy comes out at -0.2770 hartree per atom.

Material: NdSmCuTe3
Method: DFT, PBE-GGA
State: optimized geometry

Geometry as POSCAR:
```
NdSmCuTe3
1.0
2.1033 -7.1535 0.0000
2.1033 7.1535 0.0000
0.0000 0.0000 11.5456
Nd Sm Cu Te
2 2 2 6
Cartesian
0.0000 0.0000 0.0000 Nd
0.0000 0.0000 5.7728 Nd
2.1033 3.8274 8.6592 Sm
2.1033 -3.8274 2.8864 Sm
2.1033 0.4475 2.8864 Cu
2.1033 -0.4475 8.6592 Cu
2.1033 5.8435 2.8864 Te
2.1033 2.1730 0.8688 Te
2.1033 2.1730 4.9040 Te
2.1033 -2.1730 6.6416 Te
2.1033 -2.1730 10.6768 Te
2.1033 -5.8435 8.6592 Te
```

The crystal system is orthorhombic. The total energy comes out at -0.1775 hartree per atom.

Material: KDyO3
Method: DFT, PBE-GGA
State: optimized geometry

Geometry as POSCAR:
```
KDyO3
1.0
3.1178 1.8001 5.0780
-3.1178 1.8001 5.0780
0.0000 -3.6002 5.0780
K Dy O
2 2 6
Cartesian
0.0000 0.0000 3.8085 K
0.0000 0.0000 11.4255 K
0.0000 0.0000 0.0000 Dy
0.0000 0.0000 7.6170 Dy
-1.6591 0.7265 6.3475 O
-1.4587 -1.0736 8.8865 O
0.2004 -1.8001 6.3475 O
-0.2004 1.8001 8.8865 O
1.4587 1.0736 6.3475 O
1.6591 -0.7265 8.8865 O
```

The crystal system is trigonal. The total energy comes out at -0.2200 hartree per atom.

Material: GaCoSi
Method: DFT, PBE-GGA
State: optimized geometry

Geometry as POSCAR:
```
GaCoSi
1.0
0.0000 2.7813 2.7813
2.7813 0.0000 2.7813
2.7813 2.7813 0.0000
Ga Co Si
1 1 1
Cartesian
0.0000 0.0000 0.0000 Ga
2.7813 2.7813 2.7813 Co
4.1720 4.1720 4.1720 Si
```

The crystal system is cubic. The total energy comes out at -0.1886 hartree per atom.

Material: CsReNi
Method: DFT, PBE-GGA
State: optimized geometry

Geometry as POSCAR:
```
CsReNi
1.0
0.0000 3.4130 3.4130
3.4130 0.0000 3.4130
3.4130 3.4130 0.0000
Cs Re Ni
1 1 1
Cartesian
0.0000 0.0000 0.0000 Cs
3.4130 3.4130 3.4130 Re
1.7065 1.7065 1.7065 Ni
```

The crystal system is cubic. The total energy comes out at -0.1467 hartree per atom.

Material: ZrGa5Co
Method: DFT, PBE-GGA
State: optimized geometry

Geometry as POSCAR:
```
ZrGa5Co
1.0
4.1341 0.0000 0.0000
0.0000 4.1341 0.0000
0.0000 0.0000 6.6667
Zr Ga Co
1 5 1
Cartesian
0.0000 0.0000 0.0000 Zr
0.0000 2.0671 2.0325 Ga
0.0000 2.0671 4.6342 Ga
2.0671 0.0000 2.0325 Ga
2.0671 0.0000 4.6342 Ga
2.0671 2.0671 0.0000 Ga
0.0000 0.0000 3.3334 Co
```

The crystal system is tetragonal. The total energy comes out at -0.1771 hartree per atom.